[1]
This record from the Alexandria database describes PrTmLuHg after structural relaxation. The functional is PBE.

Cell lengths 5.435, 5.435, 5.435 Å; angles 60.00, 60.00, 60.00 degrees
Atoms (fractional coordinates):
1 Pr 0.000 0.000 0.000
2 Tm 0.500 0.500 0.500
3 Lu 0.250 0.250 0.250
4 Hg 0.750 0.750 0.750

As for the formation energy: -0.060 eV per atom. As for the raw total energy: -14.31 eV/cell. The calculation puts the density of states at the Fermi level at 5.03 states/eV/cell.

---

[2]
This record from the Alexandria database describes PrYLuHg after structural relaxation. The functional is PBE.

Cell lengths 5.465, 5.465, 5.465 Å; angles 60.00, 60.00, 60.00 degrees
Atoms (fractional coordinates):
1 Pr 0.000 0.000 0.000
2 Y 0.500 0.500 0.500
3 Lu 0.750 0.750 0.750
4 Hg 0.250 0.250 0.250

As for the formation energy: -0.080 eV per atom. As for the raw total energy: -16.39 eV/cell. The calculation puts the density of states at the Fermi level at 5.29 states/eV/cell.

---

[3]
This record from the Alexandria database describes Lu2HgPt after structural relaxation. The functional is PBE.

Cell lengths 3.484, 3.484, 7.326 Å; angles 90.00, 90.00, 90.00 degrees
Atoms (fractional coordinates):
1 Lu 0.000 0.000 0.223
2 Lu 0.000 0.000 0.777
3 Hg 0.500 0.500 0.500
4 Pt 0.500 0.500 0.000

As for the formation energy: -0.905 eV per atom. As for the raw total energy: -19.01 eV/cell. The energy relative to the lowest polymorph listed for this composition is 0.00 eV/f.u. The calculation puts the density of states at the Fermi level at 2.65 states/eV/cell.

---

[4]
This record from the Alexandria database describes LuHgPt2 after structural relaxation. The functional is PBE.

Cell lengths 3.580, 3.580, 5.935 Å; angles 90.00, 90.00, 90.00 degrees
Atoms (fractional coordinates):
1 Lu 0.000 0.000 0.000
2 Hg 0.000 0.000 0.500
3 Pt 0.500 0.500 0.249
4 Pt 0.500 0.500 0.751

As for the formation energy: -0.799 eV per atom. As for the raw total energy: -20.10 eV/cell. The energy relative to the lowest polymorph listed for this composition is 0.00 eV/f.u. The calculation puts the density of states at the Fermi level at 1.02 states/eV/cell.

---

[5]
This record from the Alexandria database describes Lu2HgPt after structural relaxation. The functional is PBE.

Cell lengths 4.988, 4.988, 4.988 Å; angles 60.00, 60.00, 60.00 degrees
Atoms (fractional coordinates):
1 Lu 0.250 0.250 0.250
2 Lu 0.750 0.750 0.750
3 Hg 0.000 0.000 0.000
4 Pt 0.500 0.500 0.500

As for the formation energy: -0.868 eV per atom. As for the raw total energy: -18.86 eV/cell. The energy relative to the lowest polymorph listed for this composition is 0.15 eV/f.u. The calculation puts the density of states at the Fermi level at 1.10 states/eV/cell.

---

[6]
This record from the Alexandria database describes LuHgPt after structural relaxation. The functional is PBE.

Cell lengths 4.662, 4.662, 4.662 Å; angles 60.00, 60.00, 60.00 degrees
Atoms (fractional coordinates):
1 Lu 0.000 0.000 0.000
2 Hg 0.500 0.500 0.500
3 Pt 0.750 0.750 0.750

As for the formation energy: -0.763 eV per atom. As for the raw total energy: -13.15 eV/cell. The calculation puts the density of states at the Fermi level at 1.35 states/eV/cell.

---

[7]
This record from the Alexandria database describes Lu2HgPt after structural relaxation. The functional is PBE.

Cell lengths 7.708, 7.708, 7.708 Å; angles 30.06, 30.06, 30.06 degrees
Atoms (fractional coordinates):
1 Lu 0.236 0.236 0.236
2 Lu 0.764 0.764 0.764
3 Hg 0.000 0.000 0.000
4 Pt 0.500 0.500 0.500

As for the formation energy: -0.812 eV per atom. As for the raw total energy: -18.63 eV/cell. The energy relative to the lowest polymorph listed for this composition is 0.37 eV/f.u. The calculation puts the density of states at the Fermi level at 3.01 states/eV/cell.

---

[8]
This record from the Alexandria database describes LuHgPt after structural relaxation. The functional is PBE.

Cell lengths 4.724, 4.724, 3.240 Å; angles 90.00, 90.00, 120.00 degrees
Atoms (fractional coordinates):
1 Lu 0.000 0.000 0.000
2 Hg 0.333 0.667 0.500
3 Pt 0.667 0.333 0.500

As for the formation energy: -0.656 eV per atom. As for the raw total energy: -12.83 eV/cell. The calculation puts the density of states at the Fermi level at 1.88 states/eV/cell.

---

[9]
This record from the Alexandria database describes LuHgPt2 after structural relaxation. The functional is PBE.

Cell lengths 4.755, 4.755, 4.755 Å; angles 60.00, 60.00, 60.00 degrees
Atoms (fractional coordinates):
1 Lu 0.000 0.000 0.000
2 Hg 0.500 0.500 0.500
3 Pt 0.250 0.250 0.250
4 Pt 0.750 0.750 0.750

As for the formation energy: -0.758 eV per atom. As for the raw total energy: -19.94 eV/cell. The energy relative to the lowest polymorph listed for this composition is 0.16 eV/f.u. The calculation puts the density of states at the Fermi level at 1.41 states/eV/cell.

---

[10]
This record from the Alexandria database describes LuPuHgPt after structural relaxation. The functional is PBE.

Cell lengths 5.072, 5.072, 5.072 Å; angles 60.00, 60.00, 60.00 degrees
Atoms (fractional coordinates):
1 Lu 0.000 0.000 0.000
2 Pu 0.500 0.500 0.500
3 Hg 0.250 0.250 0.250
4 Pt 0.750 0.750 0.750

As for the formation energy: -0.577 eV per atom. As for the raw total energy: -27.50 eV/cell. The calculation puts the density of states at the Fermi level at 10.30 states/eV/cell.

---

[11]
This record from the Alexandria database describes LuHgPtRh after structural relaxation. The functional is PBE.

Cell lengths 4.698, 4.698, 4.698 Å; angles 60.00, 60.00, 60.00 degrees
Atoms (fractional coordinates):
1 Lu 0.000 0.000 0.000
2 Hg 0.500 0.500 0.500
3 Pt 0.250 0.250 0.250
4 Rh 0.750 0.750 0.750

As for the formation energy: -0.655 eV per atom. As for the raw total energy: -20.83 eV/cell. The calculation puts the density of states at the Fermi level at 2.24 states/eV/cell.

---

[12]
This record from the Alexandria database describes LuSnHgPt after structural relaxation. The functional is PBE.

Cell lengths 4.935, 4.935, 4.935 Å; angles 60.00, 60.00, 60.00 degrees
Atoms (fractional coordinates):
1 Lu 0.000 0.000 0.000
2 Sn 0.500 0.500 0.500
3 Hg 0.250 0.250 0.250
4 Pt 0.750 0.750 0.750

As for the formation energy: -0.578 eV per atom. As for the raw total energy: -17.18 eV/cell. The calculation puts the density of states at the Fermi level at 1.94 states/eV/cell.

---

[13]
This record from the Alexandria database describes LuThHgPt after structural relaxation. The functional is PBE.

Cell lengths 5.157, 5.157, 5.157 Å; angles 60.00, 60.00, 60.00 degrees
Atoms (fractional coordinates):
1 Lu 0.000 0.000 0.000
2 Th 0.500 0.500 0.500
3 Hg 0.750 0.750 0.750
4 Pt 0.250 0.250 0.250

As for the formation energy: -0.673 eV per atom. As for the raw total energy: -20.98 eV/cell. The calculation puts the density of states at the Fermi level at 4.97 states/eV/cell.

---

[14]
This record from the Alexandria database describes LuTiHgPt after structural relaxation. The functional is PBE.

Cell lengths 4.817, 4.817, 4.817 Å; angles 60.00, 60.00, 60.00 degrees
Atoms (fractional coordinates):
1 Lu 0.000 0.000 0.000
2 Ti 0.500 0.500 0.500
3 Hg 0.250 0.250 0.250
4 Pt 0.750 0.750 0.750

As for the formation energy: -0.526 eV per atom. As for the raw total energy: -20.86 eV/cell. The calculation puts the density of states at the Fermi level at 3.85 states/eV/cell.

---

[15]
This record from the Alexandria database describes LuZnHgPt after structural relaxation. The functional is PBE.

Cell lengths 4.769, 4.769, 4.769 Å; angles 60.00, 60.00, 60.00 degrees
Atoms (fractional coordinates):
1 Lu 0.000 0.000 0.000
2 Zn 0.500 0.500 0.500
3 Hg 0.750 0.750 0.750
4 Pt 0.250 0.250 0.250

As for the formation energy: -0.570 eV per atom. As for the raw total energy: -14.42 eV/cell. The calculation puts the density of states at the Fermi level at 2.48 states/eV/cell.

---

[16]
This record from the Alexandria database describes LuPuHg4 after structural relaxation. The functional is PBE.

Cell lengths 5.954, 5.954, 5.954 Å; angles 60.00, 60.00, 60.00 degrees
Atoms (fractional coordinates):
1 Lu 0.000 0.000 0.000
2 Pu 0.250 0.250 0.250
3 Hg 0.125 0.625 0.625
4 Hg 0.625 0.125 0.625
5 Hg 0.625 0.625 0.125
6 Hg 0.625 0.625 0.625

As for the formation energy: -0.044 eV per atom. As for the raw total energy: -20.32 eV/cell. The calculation puts the density of states at the Fermi level at 14.23 states/eV/cell.

---

[17]
This record from the Alexandria database describes LuPuHg2 after structural relaxation. The functional is PBE.

Cell lengths 5.255, 5.255, 5.255 Å; angles 60.00, 60.00, 60.00 degrees
Atoms (fractional coordinates):
1 Lu 0.000 0.000 0.000
2 Pu 0.500 0.500 0.500
3 Hg 0.250 0.250 0.250
4 Hg 0.750 0.750 0.750

As for the formation energy: -0.253 eV per atom. As for the raw total energy: -20.47 eV/cell. The energy relative to the lowest polymorph listed for this composition is 0.11 eV/f.u. The calculation puts the density of states at the Fermi level at 10.51 states/eV/cell.

---

[18]
This record from the Alexandria database describes LuPuHg after structural relaxation. The functional is PBE.

Cell lengths 7.063, 7.063, 7.063 Å; angles 151.57, 151.57, 40.64 degrees
Atoms (fractional coordinates):
1 Lu 0.000 0.000 0.000
2 Pu 0.687 0.687 0.000
3 Hg 0.355 0.355 0.000

As for the formation energy: -0.124 eV per atom. As for the raw total energy: -19.53 eV/cell. The energy relative to the lowest polymorph listed for this composition is 0.00 eV/f.u. The calculation puts the density of states at the Fermi level at 7.07 states/eV/cell.

---

[19]
This record from the Alexandria database describes LuPuHg after structural relaxation. The functional is PBE.

Cell lengths 5.200, 5.200, 3.356 Å; angles 90.00, 90.00, 120.00 degrees
Atoms (fractional coordinates):
1 Lu 0.000 0.000 0.000
2 Pu 0.667 0.333 0.562
3 Hg 0.333 0.667 0.209

As for the formation energy: -0.027 eV per atom. As for the raw total energy: -19.23 eV/cell. The energy relative to the lowest polymorph listed for this composition is 0.29 eV/f.u. The calculation puts the density of states at the Fermi level at 8.08 states/eV/cell.

---

[20]
This record from the Alexandria database describes LuPuHg2 after structural relaxation. The functional is PBE.

Cell lengths 3.592, 3.592, 7.854 Å; angles 90.00, 90.00, 90.00 degrees
Atoms (fractional coordinates):
1 Lu 0.000 0.000 0.000
2 Pu 0.000 0.000 0.500
3 Hg 0.500 0.500 0.229
4 Hg 0.500 0.500 0.771

As for the formation energy: -0.279 eV per atom. As for the raw total energy: -20.57 eV/cell. The energy relative to the lowest polymorph listed for this composition is 0.00 eV/f.u. The calculation puts the density of states at the Fermi level at 9.30 states/eV/cell.